Version i
An optimized crystal structure of CsTcTe2N, computed with PBE-GGA.

a = 6.390 Å, b = 6.390 Å, c = 4.398 Å
α = 90.00°, β = 90.00°, γ = 90.00°
Sites, in units of the cell vectors:
Cs 0.000 0.000 0.000
Tc 0.500 0.500 0.500
Te 0.000 0.500 0.000
Te 0.500 0.000 0.000
N 0.000 0.000 0.500

size of the total moment	5.92	μB/cell
calculated density	4624	kg/m³



Version ii
An optimized crystal structure of CsTcTe2N, computed with PBE-GGA.

a = 5.977 Å, b = 5.977 Å, c = 3.772 Å
α = 90.00°, β = 90.00°, γ = 90.00°
Sites, in units of the cell vectors:
Cs 0.000 0.000 0.000
Tc 0.500 0.500 0.500
Te 0.000 0.500 0.500
Te 0.500 0.000 0.500
N 0.500 0.500 0.000

size of the total moment	1.35	μB/cell
calculated density	6163	kg/m³



If we sort the structures by their calculated energies, the order from most to least stable is version ii, version i.



Version i
An optimized crystal structure of CsTeN, computed with PBE-GGA.

a = 3.690 Å, b = 5.377 Å, c = 5.449 Å
α = 89.95°, β = 89.42°, γ = 70.26°
Sites, in units of the cell vectors:
Cs 0.000 0.000 0.000
Te 0.726 0.532 0.454
N 0.281 0.426 0.286

size of the total moment	0.00	μB/cell
calculated density	4480	kg/m³



Version ii
An optimized crystal structure of CsTeN, computed with PBE-GGA.

a = 3.690 Å, b = 6.868 Å, c = 7.811 Å
α = 90.00°, β = 90.00°, γ = 90.00°
Sites, in units of the cell vectors:
Cs 0.000 0.000 0.000
Cs 0.500 0.500 0.500
Te 0.000 0.000 0.474
Te 0.500 0.500 0.974
N 0.000 0.500 0.838
N 0.500 0.000 0.338

size of the total moment	0.00	μB/cell
calculated density	4605	kg/m³



If we sort the structures by their calculated energies, the order from most to least stable is version ii, version i.



Version i
An optimized crystal structure of CsTeN, computed with PBE-GGA.

a = 4.029 Å, b = 4.029 Å, c = 6.255 Å
α = 90.00°, β = 90.00°, γ = 90.00°
Sites, in units of the cell vectors:
Cs 0.000 0.000 0.000
Te 0.500 0.500 0.492
N 0.500 0.500 0.187

size of the total moment	0.00	μB/cell
calculated density	4488	kg/m³



Version ii
An optimized crystal structure of CsTeN, computed with PBE-GGA.

a = 26.984 Å, b = 6.867 Å, c = 3.456 Å
α = 90.00°, β = 95.20°, γ = 90.00°
Sites, in units of the cell vectors:
Cs 0.189 0.000 0.457
Cs 0.311 0.500 0.543
Cs 0.689 0.500 0.457
Cs 0.811 0.000 0.543
Te 0.180 0.500 0.950
Te 0.320 0.000 0.050
Te 0.680 0.000 0.950
Te 0.820 0.500 0.050
N 0.019 0.500 0.444
N 0.481 0.000 0.556
N 0.519 0.000 0.444
N 0.981 0.500 0.556

size of the total moment	0.00	μB/cell
calculated density	2859	kg/m³



Version iii
An optimized crystal structure of CsTeN, computed with PBE-GGA.

a = 4.236 Å, b = 4.819 Å, c = 4.840 Å
α = 90.00°, β = 90.00°, γ = 90.00°
Sites, in units of the cell vectors:
Cs 0.000 0.000 0.000
Te 0.500 0.500 0.500
N 0.000 0.500 0.500

size of the total moment	0.00	μB/cell
calculated density	4614	kg/m³



If we sort the structures by their calculated energies, the order from most to least stable is version ii, version iii, version i.



Version i
An optimized crystal structure of CsTe3N, computed with PBE-GGA.

a = 5.121 Å, b = 5.121 Å, c = 5.121 Å
α = 90.00°, β = 90.00°, γ = 90.00°
Sites, in units of the cell vectors:
Cs 0.000 0.000 0.000
Te 0.000 0.500 0.500
Te 0.500 0.000 0.500
Te 0.500 0.500 0.000
N 0.500 0.500 0.500

size of the total moment	0.00	μB/cell
calculated density	6549	kg/m³



Version ii
An optimized crystal structure of CsTe3N, computed with PBE-GGA.

a = 7.003 Å, b = 7.003 Å, c = 7.003 Å
α = 90.00°, β = 90.00°, γ = 90.00°
Sites, in units of the cell vectors:
Cs 0.000 0.000 0.000
Te 0.000 0.000 0.500
Te 0.000 0.500 0.000
Te 0.500 0.000 0.000
N 0.500 0.500 0.500

size of the total moment	8.00	μB/cell
calculated density	2561	kg/m³



If we sort the structures by their calculated energies, the order from most to least stable is version i, version ii.



Version i
An optimized crystal structure of CsTlTeN2, computed with PBE-GGA.

a = 4.925 Å, b = 4.925 Å, c = 7.756 Å
α = 90.00°, β = 90.00°, γ = 90.00°
Sites, in units of the cell vectors:
Cs 0.000 0.000 0.000
Tl 0.500 0.500 0.500
Te 0.000 0.000 0.500
N 0.000 0.500 0.000
N 0.500 0.000 0.000

size of the total moment	3.53	μB/cell
calculated density	4351	kg/m³



Version ii
An optimized crystal structure of CsTlTeN2, computed with PBE-GGA.

a = 5.158 Å, b = 5.158 Å, c = 5.937 Å
α = 90.00°, β = 90.00°, γ = 90.00°
Sites, in units of the cell vectors:
Cs 0.000 0.000 0.000
Tl 0.500 0.500 0.500
Te 0.500 0.500 0.000
N 0.000 0.500 0.500
N 0.500 0.000 0.500

size of the total moment	4.36	μB/cell
calculated density	5182	kg/m³



If we sort the structures by their calculated energies, the order from most to least stable is version ii, version i.



Version i
An optimized crystal structure of CsTlTe2N, computed with PBE-GGA.

a = 6.238 Å, b = 6.238 Å, c = 4.621 Å
α = 90.00°, β = 90.00°, γ = 90.00°
Sites, in units of the cell vectors:
Cs 0.000 0.000 0.000
Tl 0.500 0.500 0.500
Te 0.000 0.500 0.500
Te 0.500 0.000 0.500
N 0.500 0.500 0.000

size of the total moment	3.22	μB/cell
calculated density	5600	kg/m³



Version ii
An optimized crystal structure of CsTlTe2N, computed with PBE-GGA.

a = 7.170 Å, b = 7.170 Å, c = 4.974 Å
α = 90.00°, β = 90.00°, γ = 90.00°
Sites, in units of the cell vectors:
Cs 0.000 0.000 0.000
Tl 0.500 0.500 0.500
Te 0.000 0.500 0.000
Te 0.500 0.000 0.000
N 0.000 0.000 0.500

size of the total moment	4.53	μB/cell
calculated density	3939	kg/m³



If we sort the structures by their calculated energies, the order from most to least stable is version i, version ii.